# BaNa2MnF8, optimized geometry, DFT PBE with a Hubbard U
data_BaNa2MnF8
_cell_length_a 4.578
_cell_length_b 5.471
_cell_length_c 7.508
_cell_angle_alpha 90.21
_cell_angle_beta 90.14
_cell_angle_gamma 91.03
_symmetry_space_group_name_H-M 'P -1'
_symmetry_Int_Tables_number 2
_symmetry_space_group_name_Hall '-P 1'
loop_
_atom_site_label
_atom_site_fract_x
_atom_site_fract_y
_atom_site_fract_z
Ba1 0.000 0.000 0.000
Na1 0.499 0.499 0.744
Mn1 0.000 0.000 0.500
F1 0.156 0.807 0.321
F2 0.158 0.808 0.679
F3 0.310 0.220 0.500
F4 0.476 0.259 0.000
# M_tot   3.0 μB/cell
# Uncorrected energy   -60.6 eV for the cell shown
# V   188.04 Å³/cell